Entry from Alexandria via LeMat-Bulk: crystalline FePPtI2 at its relaxed geometry (GGA-PBE).

a = 5.0892 Å, b = 5.0892 Å, c = 4.6132 Å
α = 90.00°, β = 90.00°, γ = 90.00°
Atoms (fractional coordinates):
I: 0.0000 0.5000 0.0000
I: 0.5000 0.0000 0.0000
P: 0.5000 0.5000 0.5000
Fe: 0.0000 0.0000 0.0000
Pt: 0.0000 0.0000 0.5000

Calculated values
Space-group type   P4/mmm, No. 123
ΔE_f (raw)   1.1823 eV per atom
Spin magnetization   0.0008 μB per atom